[1]
Material: Sr2MnOsO6
Method: DFT, PBEsol
State: optimized geometry

Properties
- formation energy from raw total energies (kJ/mol of formula units) = -1970
- VASP energy (eV for the cell shown) = -77.567
- SG = I4/m (87)
- total magnetic moment (μB per atom) = 0.098

Lattice parameters (Å, degrees): 5.551 5.551 5.551 121.73 121.73 87.03
Positions (direct):
Sr  0.250  0.750  0.500
Sr  0.750  0.250  0.500
Mn  0.000  0.000  0.000
Os  0.500  0.500  0.000
O  0.201  0.292  0.493
O  0.255  0.255  0.000
O  0.292  0.799  0.091
O  0.708  0.201  0.909
O  0.745  0.745  0.000
O  0.799  0.708  0.507

---

[2]
Material: Mn2PO5
Method: DFT, PBEsol
State: optimized geometry

Properties
- formation energy from raw total energies (kJ/mol of formula units) = -1400
- VASP energy (eV for the cell shown) = -132.136
- SG = C2/c (15)
- total magnetic moment (μB per atom) = 1.100

Lattice parameters (Å, degrees): 5.485 5.485 7.250 113.88 113.88 85.84
Positions (direct):
Mn  0.000  0.000  0.000
Mn  0.000  0.000  0.500
Mn  0.000  0.500  0.000
Mn  0.500  0.000  0.500
P  0.375  0.625  0.750
P  0.625  0.375  0.250
O  0.125  0.875  0.250
O  0.208  0.701  0.889
O  0.299  0.792  0.611
O  0.311  0.319  0.611
O  0.319  0.311  0.111
O  0.681  0.689  0.889
O  0.689  0.681  0.389
O  0.701  0.208  0.389
O  0.792  0.299  0.111
O  0.875  0.125  0.750

---

[3]
Material: MnP3O9
Method: DFT, PBEsol
State: optimized geometry

Properties
- formation energy from raw total energies (kJ/mol of formula units) = -2537
- VASP energy (eV for the cell shown) = -402.678
- SG = P2_12_12_1 (19)
- total magnetic moment (μB per atom) = 0.308

Lattice parameters (Å, degrees): 8.277 8.320 8.897 90.00 90.00 90.00
Positions (direct):
Mn  0.140  0.136  0.355
Mn  0.360  0.864  0.855
Mn  0.640  0.364  0.645
Mn  0.860  0.636  0.145
P  0.033  0.680  0.806
P  0.172  0.506  0.304
P  0.205  0.198  0.945
P  0.295  0.802  0.445
P  0.328  0.494  0.804
P  0.467  0.320  0.306
P  0.533  0.820  0.194
P  0.672  0.994  0.696
P  0.705  0.302  0.055
P  0.795  0.698  0.555
P  0.828  0.006  0.196
P  0.967  0.180  0.694
O  0.043  0.233  0.851
O  0.088  0.589  0.176
O  0.093  0.117  0.591
O  0.093  0.361  0.373
O  0.136  0.818  0.862
O  0.151  0.539  0.746
O  0.160  0.167  0.104
O  0.188  0.915  0.357
O  0.209  0.628  0.437
O  0.291  0.372  0.937
O  0.312  0.085  0.857
O  0.340  0.833  0.604
O  0.349  0.461  0.246
O  0.364  0.182  0.362
O  0.407  0.639  0.873
O  0.407  0.883  0.091
O  0.412  0.411  0.676
O  0.457  0.767  0.351
O  0.543  0.267  0.149
O  0.588  0.911  0.824
O  0.593  0.139  0.627
O  0.593  0.383  0.409
O  0.636  0.682  0.138
O  0.651  0.961  0.254
O  0.660  0.333  0.896
O  0.688  0.585  0.643
O  0.709  0.872  0.563
O  0.791  0.128  0.063
O  0.812  0.415  0.143
O  0.840  0.667  0.396
O  0.849  0.039  0.754
O  0.864  0.318  0.638
O  0.907  0.617  0.909
O  0.907  0.861  0.127
O  0.912  0.089  0.324
O  0.957  0.733  0.649

---

[4]
Material: MnP3O9
Method: DFT, PBEsol
State: optimized geometry

Properties
- formation energy from raw total energies (kJ/mol of formula units) = -2493
- VASP energy (eV for the cell shown) = -200.441
- SG = P-1 (2)
- total magnetic moment (μB per atom) = 0.308

Lattice parameters (Å, degrees): 6.938 6.949 7.081 74.29 85.20 88.67
Positions (direct):
Mn  0.158  0.079  0.139
Mn  0.842  0.921  0.861
P  0.127  0.762  0.552
P  0.319  0.393  0.761
P  0.353  0.979  0.773
P  0.647  0.021  0.227
P  0.681  0.607  0.239
P  0.873  0.238  0.448
O  0.057  0.212  0.329
O  0.120  0.829  0.331
O  0.178  0.320  0.944
O  0.185  0.536  0.602
O  0.186  0.935  0.936
O  0.302  0.876  0.608
O  0.342  0.210  0.658
O  0.449  0.081  0.171
O  0.496  0.514  0.231
O  0.504  0.486  0.769
O  0.551  0.919  0.829
O  0.658  0.790  0.342
O  0.698  0.124  0.392
O  0.814  0.065  0.064
O  0.815  0.464  0.398
O  0.822  0.680  0.056
O  0.880  0.171  0.669
O  0.943  0.788  0.671

---

> What is the formula in the first record?

Sr2MnOsO6

---

> Which of these has the lowest total magnetic moment?

Sr2MnOsO6

---

> Which formula does entry 3 have?

MnP3O9

---

> Which of these has the lowest VASP energy?

number 3